Computed, not measured: an optimized crystal structure of La3Tb2Sn3 at the PBE level of DFT.

Calculated values
Its volume is 31.93 Å³ per atom. The calculation puts the calculated formation energy at -69 kJ/mol of atoms. The space group is P6_3/mcm. The calculation puts the uncorrected energy at -5.216 eV per atom.

a b c (Å): 6.756 9.345 9.345
angles (deg): 120.00 90.00 90.00
Element x y z (fractional)
Sn 0.250 0.603 0.603
Sn 0.250 0.000 0.397
Sn 0.750 0.397 0.397
Sn 0.750 0.000 0.603
Sn 0.750 0.603 0.000
Sn 0.250 0.397 0.000
La 0.750 0.246 0.000
La 0.250 0.246 0.246
La 0.250 0.754 0.000
La 0.250 0.000 0.754
La 0.750 0.000 0.246
La 0.750 0.754 0.754
Tb 0.000 0.667 0.333
Tb 0.000 0.333 0.667
Tb 0.500 0.333 0.667
Tb 0.500 0.667 0.333


Computed, not measured: an optimized crystal structure of La2Tb3Sn2 at the PBE level of DFT.

Calculated values
Its volume is 31.77 Å³ per atom. The calculation puts the calculated formation energy at -29 kJ/mol of atoms. The space group is C2/m. The calculation puts the uncorrected energy at -4.841 eV per atom.

a b c (Å): 3.547 8.259 9.026
angles (deg): 120.28 101.33 90.00
Element x y z (fractional)
Tb 0.212 0.787 0.424
Tb 0.000 0.500 0.000
Tb 0.788 0.213 0.576
La 0.117 0.259 0.234
La 0.883 0.741 0.766
Sn 0.581 0.880 0.162
Sn 0.419 0.120 0.838


Computed, not measured: an optimized crystal structure of LaTb3Sn2 at the PBE level of DFT.

Calculated values
Its volume is 31.05 Å³ per atom. The calculation puts the calculated formation energy at -50 kJ/mol of atoms. The space group is C2/m. The calculation puts the uncorrected energy at -4.992 eV per atom.

a b c (Å): 4.666 10.472 9.567
angles (deg): 124.15 90.00 102.87
Element x y z (fractional)
Tb 0.357 0.714 0.195
Tb 0.693 0.387 0.500
Tb 0.056 0.113 0.422
Tb 0.643 0.286 0.805
Tb 0.944 0.887 0.578
Tb 0.307 0.613 0.500
La 0.116 0.231 0.093
La 0.884 0.769 0.907
Sn 0.760 0.520 0.228
Sn 0.512 0.024 0.169
Sn 0.240 0.480 0.772
Sn 0.488 0.976 0.831


Computed, not measured: an optimized crystal structure of La3TbSn2 at the PBE level of DFT.

Calculated values
Its volume is 32.97 Å³ per atom. The calculation puts the calculated formation energy at -58 kJ/mol of atoms. The space group is Ibam. The excess energy over the best structure of this formula in the dataset comes out at 0 meV per atom. The calculation puts the uncorrected energy at -5.169 eV per atom.

a b c (Å): 6.702 6.674 10.030
angles (deg): 109.43 109.52 90.00
Element x y z (fractional)
La 0.500 0.750 0.000
La 0.430 0.676 0.353
La 0.077 0.824 0.647
La 0.500 0.250 0.000
La 0.923 0.176 0.353
La 0.570 0.324 0.647
Sn 0.624 0.865 0.731
Sn 0.376 0.135 0.269
Sn 0.894 0.635 0.269
Sn 0.106 0.365 0.731
Tb 0.000 0.750 0.000
Tb 0.000 0.250 0.000


Computed, not measured: an optimized crystal structure of La5TbSn5 at the PBE level of DFT.

Calculated values
Its volume is 36.69 Å³ per atom. The calculation puts the calculated formation energy at -50 kJ/mol of atoms. The space group is C2/m. The calculation puts the uncorrected energy at -4.995 eV per atom.

a b c (Å): 6.465 8.151 8.748
angles (deg): 106.04 90.00 113.36
Element x y z (fractional)
La 0.333 0.666 0.168
La 0.327 0.653 0.671
La 0.000 0.000 0.500
La 0.667 0.334 0.832
La 0.673 0.347 0.329
Sn 0.840 0.680 0.162
Sn 0.162 0.323 0.330
Sn 0.500 0.000 0.000
Sn 0.838 0.677 0.670
Sn 0.160 0.320 0.838
Tb 0.000 0.000 0.000


Computed, not measured: an optimized crystal structure of LaTb2Sn2 at the PBE level of DFT.

Calculated values
Its volume is 31.31 Å³ per atom. The calculation puts the calculated formation energy at -45 kJ/mol of atoms. The space group is P2_1/m. The calculation puts the uncorrected energy at -4.909 eV per atom.

a b c (Å): 4.185 5.719 13.180
angles (deg): 96.93 90.00 90.00
Element x y z (fractional)
Sn 0.750 0.663 0.045
Sn 0.250 0.787 0.657
Sn 0.750 0.213 0.343
Sn 0.250 0.337 0.955
La 0.250 0.699 0.248
La 0.750 0.301 0.752
Tb 0.750 0.744 0.470
Tb 0.750 0.168 0.109
Tb 0.250 0.256 0.530
Tb 0.250 0.832 0.891


Computed, not measured: an optimized crystal structure of La3TbSn2 at the PBE level of DFT.

Calculated values
Its volume is 28.81 Å³ per atom. The calculation puts the calculated formation energy at -28 kJ/mol of atoms. The space group is Pmm2. The excess energy over the best structure of this formula in the dataset comes out at 313 meV per atom. The calculation puts the uncorrected energy at -4.856 eV per atom.

a b c (Å): 5.375 3.375 9.530
angles (deg): 90.00 90.00 90.00
Element x y z (fractional)
Sn 0.000 0.000 0.508
Sn 0.500 0.000 0.994
Tb 0.500 0.500 0.661
La 0.000 0.500 0.163
La 0.000 0.500 0.841
La 0.500 0.500 0.333


Computed, not measured: an optimized crystal structure of La5TbSn4 at the PBE level of DFT.

Calculated values
Its volume is 41.93 Å³ per atom. The calculation puts the calculated formation energy at -34 kJ/mol of atoms. The space group is Pmmn. The calculation puts the uncorrected energy at -4.877 eV per atom.

a b c (Å): 7.765 10.215 10.571
angles (deg): 90.00 90.00 90.00
Element x y z (fractional)
Sn 0.002 0.000 0.758
Sn 0.998 0.500 0.258
Sn 0.002 0.000 0.242
Sn 0.439 0.743 0.500
Sn 0.998 0.500 0.742
Sn 0.561 0.243 0.000
Sn 0.439 0.257 0.500
Sn 0.561 0.757 0.000
La 0.254 0.256 0.799
La 0.746 0.244 0.701
La 0.254 0.744 0.799
La 0.746 0.756 0.299
La 0.746 0.244 0.299
La 0.791 0.500 0.000
La 0.254 0.744 0.201
La 0.746 0.756 0.701
La 0.254 0.256 0.201
La 0.209 0.000 0.500
Tb 0.789 0.000 0.000
Tb 0.211 0.500 0.500